No. 1
First-principles (GGA-PBE) data for an optimized crystal structure of La4CdHg, as listed in the Alexandria database.

- Offset from the most stable computed form: 0.219 eV per atom
- Crystal system: monoclinic
- Symmetry: C2/m (12)

Unit cell a=5.391 b=5.393 c=7.576 alpha=89.94 beta=89.96 gamma=90.00
Sites, in units of the cell vectors:
La1 0.501 0.997 0.251
La2 0.501 0.998 0.745
La3 0.002 0.497 0.745
La4 0.001 0.497 0.251
Cd1 0.501 0.497 0.998
Hg1 0.001 0.997 0.498

=====

No. 2
First-principles (GGA-PBE) data for an optimized crystal structure of La3CdHg2, as listed in the Alexandria database.

- Offset from the most stable computed form: 0.000 eV per atom
- Crystal system: orthorhombic
- Symmetry: Cmmm (65)

Unit cell a=3.937 b=5.521 c=8.754 alpha=108.38 beta=90.00 gamma=90.00
Sites, in units of the cell vectors:
La1 0.500 0.500 0.000
La2 0.500 0.831 0.662
La3 0.500 0.169 0.338
Cd1 0.000 0.000 0.000
Hg1 0.000 0.337 0.675
Hg2 0.000 0.663 0.325

=====

No. 3
First-principles (GGA-PBE) data for an optimized crystal structure of La6Cd3Hg, as listed in the Alexandria database.

- Crystal system: monoclinic
- Symmetry: P2_1/m (11)

Unit cell a=5.573 b=9.604 c=12.303 alpha=109.03 beta=90.00 gamma=90.00
Sites, in units of the cell vectors:
La1 0.250 0.462 0.085
La2 0.750 0.538 0.915
La3 0.250 0.128 0.143
La4 0.750 0.872 0.857
La5 0.250 0.661 0.675
La6 0.750 0.339 0.325
La7 0.250 0.259 0.500
La8 0.750 0.741 0.500
La9 0.250 0.843 0.300
La10 0.750 0.157 0.700
La11 0.250 0.082 0.870
La12 0.750 0.918 0.130
Cd1 0.250 0.534 0.372
Cd2 0.750 0.466 0.628
Cd3 0.250 0.389 0.785
Cd4 0.750 0.611 0.215
Cd5 0.250 0.763 0.975
Cd6 0.750 0.237 0.025
Hg1 0.250 0.956 0.586
Hg2 0.750 0.044 0.414

=====

Computed electronic total energy (eV/atom) in order:
-3.535 -3.161 -3.539
Computed ΔE_f (meV/atom) in order:
-47 -445 -277